# YInSb2 meta-GGA SCAN single point on PBEsol structure
# M_tot ... 0.00 μB/atom
# Calculated total energy ... -34.44 eV/atom
# Volume ... 25.24 Å³ per atom
data_YInSb2
_chemical_formula_sum 'Y1 In1 Sb2'
_symmetry_space_group_name_H-M 'P 1'
_symmetry_Int_Tables_number 1
_symmetry_space_group_name_Hall 'P 1'
_cell_length_a 4.067
_cell_length_b 4.973
_cell_length_c 4.991
_cell_angle_alpha 90.00
_cell_angle_beta 90.00
_cell_angle_gamma 90.00
loop_
_atom_site_label
_atom_site_fract_x
_atom_site_fract_y
_atom_site_fract_z
Y1 0.000 0.000 0.000
In1 0.000 0.500 0.500
Sb1 0.500 0.000 0.500
Sb2 0.500 0.500 0.000